Tl2HgI after structural relaxation. Source: the Alexandria database, functional PBE.

Unit cell a=4.2628 b=5.7018 c=5.7018 alpha=90.00 beta=90.00 gamma=90.00
With the nearest neighbours (Å) after each atom.
Sites, in units of the cell vectors:
I: 0.5000 0.0000 0.0000  8 Tl 3.56
Tl: 0.0000 0.0000 0.5000  4 Hg 3.56, 4 I 3.56
Tl: 0.0000 0.5000 0.0000  4 Hg 3.56, 4 I 3.56
Hg: 0.5000 0.5000 0.5000  8 Tl 3.56

magnetic moment = 0.0 Bohr magnetons per cell
energy above the lowest structure with this stoichiometry = 1.7 meV per atom
symmetry = P4/mmm
raw total energy = -1.888 eV/atom
ΔE_f (raw) = -0.241 eV/atom